[1]
First-principles (GGA-PBE) data for a geometry-optimized BaSrRu2O8 structure, as listed in Alexandria via LeMat-Bulk.

a b c (Å): 5.580 5.580 8.290
angles (deg): 70.33 70.33 60.00
Sites, in units of the cell vectors:
1 Ba 0.500 0.500 0.500
2 Sr 0.000 0.000 0.000
3 Ru 0.248 0.248 0.257
4 Ru 0.752 0.752 0.743
5 O 0.169 0.169 0.492
6 O 0.559 0.305 0.195
7 O 0.831 0.831 0.508
8 O 0.941 0.559 0.195
9 O 0.059 0.441 0.805
10 O 0.305 0.941 0.195
11 O 0.695 0.059 0.805
12 O 0.441 0.695 0.805

## Properties
space-group type	R-3
E	-80.30	eV per cell



[2]
First-principles (GGA-PBE) data for a geometry-optimized Hf2ZrOs2 structure, as listed in Alexandria via LeMat-Bulk.

a b c (Å): 3.184 3.189 9.847
angles (deg): 80.68 90.00 90.00
Sites, in units of the cell vectors:
1 Hf 0.000 0.172 0.657
2 Hf 0.000 0.828 0.343
3 Zr 0.000 0.000 0.000
4 Os 0.500 0.410 0.180
5 Os 0.500 0.590 0.820

## Properties
distance to the lowest polymorph of the same formula	0.00	eV/f.u.
formation energy	-0.3051	eV/atom
space-group type	Cmmm



[3]
First-principles (GGA-PBE) data for a geometry-optimized SrCdPb6 structure, as listed in Alexandria via LeMat-Bulk.

a b c (Å): 5.060 5.060 9.698
angles (deg): 90.00 90.00 90.00
Sites, in units of the cell vectors:
1 Sr 0.000 0.000 0.000
2 Cd 0.000 0.000 0.500
3 Pb 0.500 0.500 0.000
4 Pb 0.500 0.500 0.500
5 Pb 0.500 0.000 0.265
6 Pb 0.500 0.000 0.735
7 Pb 0.000 0.500 0.265
8 Pb 0.000 0.500 0.735

## Properties
formation energy	-0.1178	eV/atom
space-group type	P4/mmm



[4]
First-principles (GGA-PBE) data for a geometry-optimized Ce2SiS structure, as listed in Alexandria via LeMat-Bulk.

a b c (Å): 3.943 4.228 11.468
angles (deg): 100.62 90.00 90.00
Sites, in units of the cell vectors:
1 Ce 0.750 0.685 0.369
2 Ce 0.250 0.315 0.631
3 Ce 0.750 0.932 0.865
4 Ce 0.250 0.068 0.135
5 Si 0.250 0.465 0.929
6 Si 0.750 0.535 0.071
7 S 0.250 0.191 0.382
8 S 0.750 0.809 0.618

## Properties
distance to the lowest polymorph of the same formula	0.00	eV/f.u.
space-group type	Cmcm



[5]
First-principles (GGA-PBE) data for a geometry-optimized CrCu2Cl structure, as listed in Alexandria via LeMat-Bulk.

a b c (Å): 3.291 3.371 6.150
angles (deg): 89.53 90.00 90.00
Sites, in units of the cell vectors:
1 Cr 0.500 0.750 0.750
2 Cu 0.000 0.246 0.949
3 Cu 0.000 0.254 0.551
4 Cl 0.500 0.250 0.250

## Properties
distance to the lowest polymorph of the same formula	0.45	eV/f.u.
space-group type	P2/m



[6]
First-principles (GGA-PBE) data for a geometry-optimized MgFe2As structure, as listed in Alexandria via LeMat-Bulk.

a b c (Å): 3.149 3.149 5.723
angles (deg): 90.00 90.00 90.00
Sites, in units of the cell vectors:
1 As 0.500 0.500 0.750
2 Fe 0.000 0.000 0.958
3 Fe 0.000 0.000 0.542
4 Mg 0.500 0.500 0.250

## Properties
formation energy	0.1042	eV/atom
space-group type	P4/mmm



[7]
First-principles (GGA-PBE) data for a geometry-optimized Li2CrCu2 structure, as listed in Alexandria via LeMat-Bulk.

a b c (Å): 7.019 7.019 2.460
angles (deg): 90.00 90.00 90.00
Sites, in units of the cell vectors:
1 Cr 0.000 0.000 0.000
2 Cr 0.500 0.500 0.000
3 Cu 0.183 0.683 0.500
4 Cu 0.683 0.817 0.500
5 Cu 0.817 0.317 0.500
6 Cu 0.317 0.183 0.500
7 Li 0.381 0.881 0.000
8 Li 0.881 0.619 0.000
9 Li 0.619 0.119 0.000
10 Li 0.119 0.381 0.000

## Properties
distance to the lowest polymorph of the same formula	0.00	eV/f.u.
formation energy	0.3194	eV/atom
space-group type	P4/mbm



[8]
First-principles (GGA-PBE) data for a geometry-optimized AuCl2 structure, as listed in Alexandria via LeMat-Bulk.

a b c (Å): 7.619 7.619 7.176
angles (deg): 88.64 88.64 27.54
Sites, in units of the cell vectors:
1 Au 0.100 0.100 0.019
2 Au 0.349 0.349 0.670
3 Cl 0.597 0.597 0.246
4 Cl 0.598 0.598 0.791
5 Cl 0.863 0.863 0.453
6 Cl 0.327 0.327 0.988

## Properties
space-group type	Cm
E	-14.68	eV per cell